Entry 1:
First-principles (PBE) data for SmHoP after structural relaxation, as listed in Alexandria.

The space group is P3m1. The formation energy is -0.95 eV per atom. For the total energy, the calculation gives -5.851 eV per atom.

Cell lengths 3.936, 3.936, 6.459 Å; angles 90.00, 90.00, 120.00 degrees
Sites, in units of the cell vectors:
Sm (0.000, 0.000, 0.000)
Ho (0.333, 0.667, 0.495)
P (0.667, 0.333, 0.256)

Entry 2:
First-principles (PBE) data for HoCdCo after structural relaxation, as listed in Alexandria.

The space group is Cm. The formation energy is -0.21 eV per atom. For the total energy, the calculation gives -4.409 eV per atom.

Cell lengths 3.859, 3.859, 10.739 Å; angles 100.40, 100.40, 60.04 degrees
Sites, in units of the cell vectors:
Ho (0.000, 0.000, 0.000)
Ho (0.115, 0.115, 0.345)
Cd (0.590, 0.590, 0.770)
Cd (0.859, 0.859, 0.575)
Co (0.391, 0.391, 0.172)
Co (0.725, 0.725, 0.173)

Entry 3:
First-principles (PBE) data for IrAu3 after structural relaxation, as listed in Alexandria.

The space group is Pnma. The formation energy is 0.26 eV per atom. For the total energy, the calculation gives -4.416 eV per atom.

Cell lengths 4.924, 9.593, 5.816 Å; angles 90.00, 90.00, 90.00 degrees
Sites, in units of the cell vectors:
Ir (0.082, 0.250, 0.154)
Ir (0.418, 0.750, 0.654)
Ir (0.582, 0.250, 0.346)
Ir (0.918, 0.750, 0.846)
Au (0.075, 0.250, 0.631)
Au (0.242, 0.501, 0.879)
Au (0.242, 0.999, 0.879)
Au (0.258, 0.001, 0.379)
Au (0.258, 0.499, 0.379)
Au (0.425, 0.750, 0.131)
Au (0.575, 0.250, 0.869)
Au (0.742, 0.501, 0.621)
Au (0.742, 0.999, 0.621)
Au (0.758, 0.001, 0.121)
Au (0.758, 0.499, 0.121)
Au (0.925, 0.750, 0.369)

Entry 4:
First-principles (PBE) data for SiSbI2N after structural relaxation, as listed in Alexandria.

The space group is P4/mmm. The value obtained for the formation energy without anion corrections is 0.997 eV per atom. For the total energy, the calculation gives -3.197 eV per atom. The energy above the most stable polymorph in this dataset is 606 meV/atom.

Cell lengths 6.162, 6.162, 3.962 Å; angles 90.00, 90.00, 90.00 degrees
Sites, in units of the cell vectors:
Si (0.000, 0.000, 0.000)
Sb (0.500, 0.500, 0.500)
I (0.000, 0.500, 0.500)
I (0.500, 0.000, 0.500)
N (0.500, 0.500, 0.000)